Computed, not measured: crystalline Ca3ReN4 at its relaxed geometry at the PBE-GGA level of DFT.

```
Ca3ReN4
1.0
5.3741 0.0000 0.0000
0.0000 6.6702 0.0000
0.0000 0.0000 7.5975
N Ca Re
8 6 2
Direct
0.1525 0.8233 0.5000
0.5883 0.6974 0.2940
0.0883 0.3026 0.7940
0.5883 0.6974 0.7060
0.6525 0.1767 0.0000
0.0883 0.3026 0.2060
0.0745 0.8949 0.0000
0.5745 0.1051 0.5000
0.5366 0.8487 0.0000
0.5395 0.3347 0.2546
0.5395 0.3347 0.7454
0.0395 0.6653 0.7546
0.0366 0.1513 0.5000
0.0395 0.6653 0.2454
0.9960 0.1693 0.0000
0.4960 0.8307 0.5000
```

Calculated values
Final energy in eV/atom: -7.295
Total magnetic moment in Bohr magnetons per cell: 1.841
Formation energy from raw total energies in eV per atom: -0.826